[1]
La2ZnIr, optimized geometry, DFT PBE; volume = 25.9 A^3/atom; DOS(E_F) = 0.948 states/eV/atom; formation energy from the elements = -527 meV/atom
1.0
-3.9931 0.3714 2.0891
-0.9689 -3.8220 -1.1725
1.7752 -3.9105 4.0885
La Zn Ir
2 1 1
direct
0.5000 0.2603 0.3538
0.0000 0.9878 0.9003
0.0000 0.6931 0.4885
0.5000 0.5588 0.7574



[2]
La2Zn2Ir, optimized geometry, DFT PBE; offset from the most stable computed form = 0.233 eV per atom; volume = 22.5 A^3/atom; DOS(E_F) = 0.917 states/eV/atom; formation energy from the elements = -288 meV/atom
1.0
6.9777 0.0000 0.0000
0.0000 6.9777 0.0000
0.0000 0.0000 4.6182
La Ir Zn
4 2 4
direct
0.8216 0.3216 0.5000
0.1784 0.6784 0.5000
0.3216 0.1784 0.5000
0.6784 0.8216 0.5000
0.0000 0.0000 0.0000
0.5000 0.5000 0.0000
0.3689 0.8689 0.0000
0.8689 0.6311 0.0000
0.1311 0.3689 0.0000
0.6311 0.1311 0.0000



[3]
La2ZnIr, optimized geometry, DFT PBE; volume = 29.3 A^3/atom; DOS(E_F) = 0.766 states/eV/atom; formation energy from the elements = -478 meV/atom
1.0
-1.2905 2.7693 2.9861
-4.1424 0.9832 0.3540
-2.7280 -4.3347 5.8971
Ir La Zn
1 2 1
direct
0.6645 0.6645 0.0064
0.0687 0.0687 0.7938
0.2649 0.2649 0.2052
0.5018 0.5018 0.4945



[4]
La2Zn16Ir, optimized geometry, DFT PBE; volume = 16.8 A^3/atom; DOS(E_F) = 0.389 states/eV/atom; formation energy from the elements = -277 meV/atom
1.0
-3.6583 -5.8331 -0.1156
4.2751 -3.6190 -4.0060
3.3805 -3.2374 5.0511
Zn La Ir
16 2 1
direct
0.0990 0.0990 0.0990
0.3515 0.8420 0.3515
0.7148 0.2817 0.9982
0.2817 0.9982 0.7148
0.5060 0.9951 0.9951
0.8420 0.3515 0.3515
0.9951 0.5060 0.9951
0.7148 0.9982 0.2817
0.9951 0.9951 0.5060
0.2817 0.7148 0.9982
0.9982 0.7148 0.2817
0.6536 0.1548 0.6536
0.1548 0.6536 0.6536
0.6536 0.6536 0.1548
0.3515 0.3515 0.8420
0.9982 0.2817 0.7148
0.6686 0.6686 0.6686
0.3408 0.3408 0.3408
0.8989 0.8989 0.8989



[5]
LaZn2Ir, optimized geometry, DFT PBE; volume = 21.9 A^3/atom; DOS(E_F) = 0.474 states/eV/atom; formation energy from the elements = -272 meV/atom
1.0
-0.3577 -3.8416 -0.7049
1.9511 -0.7537 3.1177
-4.0676 -0.4829 4.6956
Zn La Ir
2 1 1
direct
0.0000 0.9919 0.1419
0.5000 0.4619 0.2026
0.5000 0.7218 0.6801
0.0000 0.3244 0.4755



[6]
La3Zn3Ir, optimized geometry, DFT PBE; volume = 25.0 A^3/atom; DOS(E_F) = 0.899 states/eV/atom; formation energy from the elements = -431 meV/atom
1.0
-0.2206 -2.5520 3.1240
5.5342 -1.9363 1.4211
2.9322 10.2281 11.1747
La Ir Zn
6 2 6
direct
0.3719 0.3314 0.9248
0.2690 0.2211 0.2409
0.7310 0.7789 0.7591
0.4797 0.6515 0.3891
0.5203 0.3485 0.6109
0.6281 0.6686 0.0752
0.2093 0.9496 0.6317
0.7907 0.0504 0.3683
0.9866 0.7996 0.2272
0.1768 0.1819 0.4645
0.0134 0.2004 0.7728
0.9092 0.1048 0.0768
0.8232 0.8181 0.5355
0.0908 0.8952 0.9232



[7]
LaZnIr2, optimized geometry, DFT PBE; volume = 18.4 A^3/atom; DOS(E_F) = 0.668 states/eV/atom; formation energy from the elements = -202 meV/atom
1.0
-2.1048 2.4841 -0.3801
-1.7940 -1.1407 2.4951
3.6693 3.7769 4.3649
Ir Zn La
2 1 1
direct
0.0000 0.0000 0.9526
0.0000 0.0000 0.5474
0.5000 0.5000 0.7500
0.5000 0.5000 0.2500



[8]
LaZn2Ir, optimized geometry, DFT PBE; volume = 21.0 A^3/atom; DOS(E_F) = 0.449 states/eV/atom; formation energy from the elements = -442 meV/atom
1.0
4.1969 0.0000 0.0000
0.0000 9.6971 0.0000
-2.0985 -4.8485 8.2647
Zn Ir La
8 4 4
direct
0.9285 0.4285 0.8570
0.6999 0.0389 0.3998
0.0715 0.5715 0.1430
0.3001 0.9611 0.6002
0.8950 0.8950 0.7901
0.6999 0.3608 0.3998
0.3001 0.6392 0.6002
0.1050 0.1050 0.2099
0.8632 0.1275 0.7264
0.1368 0.8725 0.2736
0.8632 0.5989 0.7264
0.1368 0.4011 0.2736
0.5000 0.2437 0.0000
0.6983 0.6983 0.3965
0.5000 0.7563 0.0000
0.3017 0.3017 0.6035



[9]
La2Zn5Ir, optimized geometry, DFT PBE; volume = 20.5 A^3/atom; DOS(E_F) = 0.640 states/eV/atom; formation energy from the elements = -397 meV/atom
1.0
4.3344 0.0000 0.0000
-2.1672 8.2343 0.0000
0.0000 0.0000 9.1788
Zn La Ir
10 4 2
direct
0.6511 0.3022 0.4848
0.8099 0.6198 0.3882
0.1901 0.3802 0.8882
0.8099 0.6198 0.1118
0.3489 0.6978 0.5152
0.5976 0.1952 0.7500
0.4024 0.8048 0.2500
0.6511 0.3022 0.0152
0.3489 0.6978 0.9848
0.1901 0.3802 0.6118
0.1874 0.3749 0.2500
0.0000 0.0000 0.0000
0.8126 0.6251 0.7500
0.0000 0.0000 0.5000
0.5588 0.1176 0.2500
0.4412 0.8824 0.7500



[10]
La4ZnIr, optimized geometry, DFT PBE; offset from the most stable computed form = 1.012 eV per atom; volume = 28.3 A^3/atom; DOS(E_F) = 1.986 states/eV/atom; formation energy from the elements = 589 meV/atom
1.0
0.0000 4.3927 4.3927
4.3927 0.0000 4.3927
4.3927 4.3927 0.0000
La Ir Zn
4 1 1
direct
0.3736 0.8791 0.3736
0.3736 0.3736 0.3736
0.8791 0.3736 0.3736
0.3736 0.3736 0.8791
0.0000 0.0000 0.0000
0.7500 0.7500 0.7500



[11]
LaZn2Ir2, optimized geometry, DFT PBE; offset from the most stable computed form = 0.039 eV per atom; volume = 19.4 A^3/atom; DOS(E_F) = 0.533 states/eV/atom; formation energy from the elements = -470 meV/atom
1.0
4.1968 0.0000 0.0000
0.0000 4.1968 0.0000
2.0984 2.0984 5.5130
Ir Zn La
2 2 1
direct
0.3877 0.3877 0.2247
0.6123 0.6123 0.7753
0.2500 0.7500 0.5000
0.7500 0.2500 0.5000
0.0000 0.0000 0.0000



[12]
La2Zn5Ir5, optimized geometry, DFT PBE; volume = 17.8 A^3/atom; DOS(E_F) = 0.658 states/eV/atom; formation energy from the elements = -466 meV/atom
1.0
-2.4235 -2.2554 2.4102
-0.6183 -3.7523 -4.1330
7.4023 -4.6378 3.1032
La Zn Ir
2 5 5
direct
0.0000 0.0000 0.5000
0.0000 0.5000 0.0000
0.0000 0.0000 0.8312
0.0000 0.0000 0.1688
0.0000 0.5000 0.3313
0.5000 0.0000 0.0000
0.0000 0.5000 0.6687
0.5000 0.5000 0.5000
0.5000 0.7551 0.7499
0.5000 0.2449 0.7499
0.5000 0.7551 0.2501
0.5000 0.2449 0.2501